The following is a DFT calculation (PBE) of a relaxed structure of SrPaInO5.

Properties
Total DFT energy (no corrections) in eV per atom: -7.633
Calculated density in g/cm3: 6.08
E_form (uncorrected) in eV per atom: -2.79
SG: C2/c

a = 6.2902 Å, b = 6.2902 Å, c = 8.1733 Å
α = 104.41°, β = 104.41°, γ = 107.18°
Last column: nearest neighbours and their distance in Å.
Element x y z (fractional)
Sr  0.3246  0.6754  0.2500  5 O 2.52-2.71
Sr  0.6754  0.3246  0.7500  5 O 2.52-2.71
Pa  0.0000  0.0000  0.5000  6 O 2.14-2.24
Pa  0.0000  0.0000  0.0000  6 O 2.14-2.24
In  0.6809  0.3191  0.2500  4 O 2.07
In  0.3191  0.6809  0.7500  4 O 2.07
O  0.0757  0.9243  0.2500  2 Pa 2.18
O  0.9243  0.0757  0.7500  2 Pa 2.18
O  0.8986  0.3073  0.0987  1 In 2.07, 1 Pa 2.24
O  0.1014  0.6927  0.9013  1 In 2.07, 1 Pa 2.24
O  0.6927  0.1014  0.4013  1 In 2.07, 1 Pa 2.24
O  0.3073  0.8986  0.5987  1 In 2.07, 1 Pa 2.24
O  0.7335  0.6515  0.4149  1 In 2.07, 1 Pa 2.14
O  0.2665  0.3485  0.5851  1 In 2.07, 1 Pa 2.14
O  0.3485  0.2665  0.0851  1 In 2.07, 1 Pa 2.14
O  0.6515  0.7335  0.9149  1 In 2.07, 1 Pa 2.14

***

The following is a DFT calculation (PBE) of a relaxed structure of Sr2PaInO6.

Properties
Total DFT energy (no corrections) in eV per atom: -7.296
Calculated density in g/cm3: 6.30
E_form (uncorrected) in eV per atom: -2.76
SG: P4mm

a = 4.4309 Å, b = 6.0588 Å, c = 6.0588 Å
α = 90.00°, β = 90.00°, γ = 90.00°
Last column: nearest neighbours and their distance in Å.
Element x y z (fractional)
Sr  0.0603  0.5000  0.0000  4 O 2.71
Sr  0.0603  0.0000  0.5000  4 O 2.71
Pa  0.6387  0.5000  0.5000  6 O 2.13-2.25
In  0.6380  0.0000  0.0000  6 O 2.14-2.29
O  0.6872  0.2527  0.2527  1 Pa 2.13, 1 In 2.18
O  0.6872  0.2527  0.7473  1 Pa 2.13, 1 In 2.18
O  0.1461  0.5000  0.5000  2 Pa 2.18-2.25
O  0.1544  0.0000  0.0000  2 In 2.14-2.29
O  0.6872  0.7473  0.7473  1 Pa 2.13, 1 In 2.18
O  0.6872  0.7473  0.2527  1 Pa 2.13, 1 In 2.18

***

The following is a DFT calculation (PBE) of a relaxed structure of PaTaIn2O8.

Properties
Total DFT energy (no corrections) in eV per atom: -8.072
Calculated density in g/cm3: 7.80
E_form (uncorrected) in eV per atom: -2.53
SG: Cmmm

a = 4.9486 Å, b = 4.9469 Å, c = 6.6972 Å
α = 90.00°, β = 90.00°, γ = 91.17°
Last column: nearest neighbours and their distance in Å.
Element x y z (fractional)
Pa  0.0000  0.0000  0.5000  6 O 2.12-2.23
Ta  0.0000  0.0000  0.0000  6 O 2.00-2.02
In  0.5000  0.5000  0.7604  6 O 2.17-2.23
In  0.5000  0.5000  0.2396  6 O 2.17-2.23
O  0.1839  0.8153  0.2301  1 Ta 2.02, 1 Pa 2.23, 1 In 2.23
O  0.7107  0.7116  0.0000  1 Ta 2.00, 2 In 2.17
O  0.8162  0.1847  0.2301  1 Ta 2.02, 1 Pa 2.23, 1 In 2.23
O  0.8161  0.1847  0.7699  1 Ta 2.02, 1 Pa 2.23, 1 In 2.23
O  0.2893  0.2884  0.0000  1 Ta 2.00, 2 In 2.17
O  0.1838  0.8153  0.7699  1 Ta 2.02, 1 Pa 2.23, 1 In 2.23
O  0.6940  0.6951  0.5000  1 Pa 2.12, 2 In 2.20
O  0.3060  0.3049  0.5000  1 Pa 2.12, 2 In 2.20

***

The following is a DFT calculation (PBE) of a relaxed structure of TbPaInO6.

Properties
Total DFT energy (no corrections) in eV per atom: -7.827
Calculated density in g/cm3: 7.53
E_form (uncorrected) in eV per atom: -2.65
SG: P312

a = 4.7997 Å, b = 5.6438 Å, c = 5.6438 Å
α = 120.00°, β = 90.00°, γ = 90.00°
Last column: nearest neighbours and their distance in Å.
Element x y z (fractional)
Tb  0.5000  0.6667  0.3333  6 O 2.29
Pa  0.0000  0.3333  0.6667  6 O 2.19
In  0.5000  0.0000  0.0000  6 O 2.21
O  0.7450  0.6606  0.6780  1 Pa 2.19, 1 In 2.21, 1 Tb 2.29
O  0.7450  0.3220  0.9826  1 Pa 2.19, 1 In 2.21, 1 Tb 2.29
O  0.7450  0.0174  0.3394  1 Pa 2.19, 1 In 2.21, 1 Tb 2.29
O  0.2550  0.3220  0.3394  1 Pa 2.19, 1 In 2.21, 1 Tb 2.29
O  0.2550  0.6606  0.9826  1 Pa 2.19, 1 In 2.21, 1 Tb 2.29
O  0.2550  0.0174  0.6780  1 Pa 2.19, 1 In 2.21, 1 Tb 2.29

***

The following is a DFT calculation (PBE) of a relaxed structure of PaInTeO6.

Properties
Total DFT energy (no corrections) in eV per atom: -7.012
Calculated density in g/cm3: 7.25
E_form (uncorrected) in eV per atom: -2.00
SG: P-31c

a = 5.7309 Å, b = 5.7309 Å, c = 9.1693 Å
α = 90.00°, β = 90.00°, γ = 120.00°
Last column: nearest neighbours and their distance in Å.
Element x y z (fractional)
Pa  0.3333  0.6667  0.2500  6 O 2.19
Pa  0.6667  0.3333  0.7500  6 O 2.19
In  0.0000  0.0000  0.0000  6 O 2.26
In  0.0000  0.0000  0.5000  6 O 2.26
Te  0.6667  0.3333  0.2500  6 O 2.21
Te  0.3333  0.6667  0.7500  6 O 2.21
O  0.6643  0.6660  0.1303  1 Pa 2.19, 1 Te 2.21, 1 In 2.26
O  0.0017  0.3357  0.1303  1 Pa 2.19, 1 Te 2.21, 1 In 2.26
O  0.3357  0.0017  0.6303  1 Pa 2.19, 1 Te 2.21, 1 In 2.26
O  0.9983  0.6643  0.8697  1 Pa 2.19, 1 Te 2.21, 1 In 2.26
O  0.3340  0.3357  0.3697  1 Pa 2.19, 1 Te 2.21, 1 In 2.26
O  0.0017  0.6660  0.3697  1 Pa 2.19, 1 Te 2.21, 1 In 2.26
O  0.6660  0.0017  0.8697  1 Pa 2.19, 1 Te 2.21, 1 In 2.26
O  0.6643  0.9983  0.3697  1 Pa 2.19, 1 Te 2.21, 1 In 2.26
O  0.9983  0.3340  0.6303  1 Pa 2.19, 1 Te 2.21, 1 In 2.26
O  0.3340  0.9983  0.1303  1 Pa 2.19, 1 Te 2.21, 1 In 2.26
O  0.6660  0.6643  0.6303  1 Pa 2.19, 1 Te 2.21, 1 In 2.26
O  0.3357  0.3340  0.8697  1 Pa 2.19, 1 Te 2.21, 1 In 2.26

***

The following is a DFT calculation (PBE) of a relaxed structure of PaIn2TeO8.

Properties
Total DFT energy (no corrections) in eV per atom: -6.742
Calculated density in g/cm3: 7.08
E_form (uncorrected) in eV per atom: -1.93
SG: Cmmm

a = 4.9546 Å, b = 4.9549 Å, c = 6.8441 Å
α = 90.00°, β = 90.00°, γ = 91.35°
Last column: nearest neighbours and their distance in Å.
Element x y z (fractional)
Pa  0.0000  0.0000  0.5000  6 O 2.12-2.24
In  0.5000  0.5000  0.7565  6 O 2.19-2.22
In  0.5000  0.5000  0.2435  6 O 2.19-2.22
Te  0.0000  0.0000  0.0000  6 O 2.04-2.09
O  0.1872  0.8120  0.2362  1 Te 2.09, 1 In 2.22, 1 Pa 2.24
O  0.7049  0.7057  0.0000  1 Te 2.04, 2 In 2.19
O  0.8129  0.1880  0.2362  1 Te 2.09, 1 In 2.22, 1 Pa 2.24
O  0.8128  0.1880  0.7638  1 Te 2.09, 1 In 2.22, 1 Pa 2.24
O  0.2951  0.2943  0.0000  1 Te 2.04, 2 In 2.19
O  0.1871  0.8120  0.7638  1 Te 2.09, 1 In 2.22, 1 Pa 2.24
O  0.6937  0.6947  0.5000  1 Pa 2.12, 2 In 2.21
O  0.3063  0.3053  0.5000  1 Pa 2.12, 2 In 2.21

***

The following is a DFT calculation (PBE) of a relaxed structure of PaTiInO6.

Properties
Total DFT energy (no corrections) in eV per atom: -8.327
Calculated density in g/cm3: 6.93
E_form (uncorrected) in eV per atom: -2.79
SG: P-31c

a = 5.3082 Å, b = 5.3082 Å, c = 9.6178 Å
α = 90.00°, β = 90.00°, γ = 120.00°
Last column: nearest neighbours and their distance in Å.
Element x y z (fractional)
Pa  0.0000  0.0000  0.0000  6 O 2.21
Pa  0.0000  0.0000  0.5000  6 O 2.21
Ti  0.6667  0.3333  0.2500  6 O 1.99
Ti  0.3333  0.6667  0.7500  6 O 1.99
In  0.3333  0.6667  0.2500  6 O 2.19
In  0.6667  0.3333  0.7500  6 O 2.19
O  0.6762  0.6470  0.1327  1 Ti 1.99, 1 In 2.19, 1 Pa 2.21
O  0.9709  0.3238  0.1327  1 Ti 1.99, 1 In 2.19, 1 Pa 2.21
O  0.3238  0.9709  0.6327  1 Ti 1.99, 1 In 2.19, 1 Pa 2.21
O  0.0291  0.6762  0.8673  1 Ti 1.99, 1 In 2.19, 1 Pa 2.21
O  0.3530  0.3238  0.3673  1 Ti 1.99, 1 In 2.19, 1 Pa 2.21
O  0.9709  0.6470  0.3673  1 Ti 1.99, 1 In 2.19, 1 Pa 2.21
O  0.6470  0.9709  0.8673  1 Ti 1.99, 1 In 2.19, 1 Pa 2.21
O  0.6762  0.0291  0.3673  1 Ti 1.99, 1 In 2.19, 1 Pa 2.21
O  0.0291  0.3530  0.6327  1 Ti 1.99, 1 In 2.19, 1 Pa 2.21
O  0.3530  0.0291  0.1327  1 Ti 1.99, 1 In 2.19, 1 Pa 2.21
O  0.6470  0.6762  0.6327  1 Ti 1.99, 1 In 2.19, 1 Pa 2.21
O  0.3238  0.3530  0.8673  1 Ti 1.99, 1 In 2.19, 1 Pa 2.21

***

The following is a DFT calculation (PBE) of a relaxed structure of PaTi2InO8.

Properties
Total DFT energy (no corrections) in eV per atom: -8.474
Calculated density in g/cm3: 6.60
E_form (uncorrected) in eV per atom: -2.83
SG: I-4

a = 5.1101 Å, b = 5.1101 Å, c = 6.5679 Å
α = 112.89°, β = 112.89°, γ = 90.00°
Last column: nearest neighbours and their distance in Å.
Element x y z (fractional)
Pa  0.0000  0.0000  0.0000  8 O 2.23-2.37
Ti  0.5000  0.5000  0.0000  4 O 1.86
Ti  0.2500  0.7500  0.5000  4 O 1.87
In  0.7500  0.2500  0.5000  8 O 2.25-2.40
O  0.7672  0.8416  0.1671  1 Ti 1.86
O  0.3999  0.3255  0.1671  1 Ti 1.86
O  0.5940  0.6538  0.6717  1 Ti 1.87
O  0.0777  0.0179  0.6717  1 Ti 1.87
O  0.9821  0.4060  0.3283  1 Ti 1.87
O  0.3462  0.9223  0.3283  1 Ti 1.87
O  0.1584  0.6001  0.8329  1 Ti 1.86
O  0.6745  0.2328  0.8329  1 Ti 1.86

***

The following is a DFT calculation (PBE) of a relaxed structure of PaTiIn2O8.

Properties
Total DFT energy (no corrections) in eV per atom: -7.558
Calculated density in g/cm3: 6.56
E_form (uncorrected) in eV per atom: -2.35
SG: Cmmm

a = 4.9393 Å, b = 4.9406 Å, c = 6.6061 Å
α = 90.00°, β = 90.00°, γ = 90.46°
Last column: nearest neighbours and their distance in Å.
Element x y z (fractional)
Pa  0.0000  0.0000  0.5000  6 O 2.13-2.21
Ti  0.0000  0.0000  0.0000  6 O 1.99
In  0.5000  0.5000  0.7606  6 O 2.17-2.22
In  0.5000  0.5000  0.2394  6 O 2.17-2.22
O  0.1839  0.8158  0.2284  1 Ti 1.99, 1 Pa 2.21, 1 In 2.22
O  0.7134  0.7137  0.0000  1 Ti 1.99, 2 In 2.17
O  0.8162  0.1842  0.2284  1 Ti 1.99, 1 Pa 2.21, 1 In 2.22
O  0.8161  0.1842  0.7716  1 Ti 1.99, 1 Pa 2.21, 1 In 2.22
O  0.2866  0.2863  0.0000  1 Ti 1.99, 2 In 2.17
O  0.1838  0.8158  0.7716  1 Ti 1.99, 1 Pa 2.21, 1 In 2.22
O  0.6940  0.6945  0.5000  1 Pa 2.13, 2 In 2.19
O  0.3060  0.3055  0.5000  1 Pa 2.13, 2 In 2.19

***

The following is a DFT calculation (PBE) of a relaxed structure of PaTl2InO8.

Properties
Total DFT energy (no corrections) in eV per atom: -6.028
Calculated density in g/cm3: 7.98
E_form (uncorrected) in eV per atom: -1.31
SG: I-4m2

a = 6.2182 Å, b = 6.2182 Å, c = 6.2182 Å
α = 112.38°, β = 112.38°, γ = 103.79°
Last column: nearest neighbours and their distance in Å.
Element x y z (fractional)
Pa  0.0000  0.0000  0.0000  4 O 2.14
Tl  0.7500  0.2500  0.5000  4 O 2.13
Tl  0.5000  0.5000  0.0000  4 O 2.16
In  0.2500  0.7500  0.5000  4 O 2.17
O  0.3411  0.0349  0.3062  1 Tl 2.13, 1 Pa 2.14
O  0.2752  0.4630  0.1878  1 Tl 2.16, 1 In 2.17
O  0.2752  0.0875  0.8122  1 Tl 2.16, 1 In 2.17
O  0.7288  0.0349  0.6938  1 Tl 2.13, 1 Pa 2.14
O  0.9125  0.7248  0.1878  1 Tl 2.16, 1 In 2.17
O  0.9651  0.2712  0.3062  1 Tl 2.13, 1 Pa 2.14
O  0.9651  0.6589  0.6938  1 Tl 2.13, 1 Pa 2.14
O  0.5370  0.7248  0.8122  1 Tl 2.16, 1 In 2.17

***

The following is a DFT calculation (PBE) of a relaxed structure of PaTlIn2O8.

Properties
Total DFT energy (no corrections) in eV per atom: -6.228
Calculated density in g/cm3: 7.24
E_form (uncorrected) in eV per atom: -1.48
SG: I-4m2

a = 6.1952 Å, b = 6.1952 Å, c = 6.1952 Å
α = 112.09°, β = 112.09°, γ = 104.36°
Last column: nearest neighbours and their distance in Å.
Element x y z (fractional)
Pa  0.2500  0.7500  0.5000  4 O 2.12
Tl  0.0000  0.0000  0.0000  4 O 2.21
In  0.7500  0.2500  0.5000  4 O 2.08
In  0.5000  0.5000  0.0000  4 O 2.05
O  0.3505  0.0328  0.3178  1 In 2.08, 1 Tl 2.21
O  0.2999  0.4981  0.1981  1 In 2.05, 1 Pa 2.12
O  0.2999  0.1018  0.8019  1 In 2.05, 1 Pa 2.12
O  0.7150  0.0328  0.6822  1 In 2.08, 1 Tl 2.21
O  0.8982  0.7001  0.1981  1 In 2.05, 1 Pa 2.12
O  0.9672  0.2850  0.3178  1 In 2.08, 1 Tl 2.21
O  0.9672  0.6495  0.6822  1 In 2.08, 1 Tl 2.21
O  0.5019  0.7001  0.8019  1 In 2.05, 1 Pa 2.12